# 1
Entry from Alexandria: LiPb2Au at its PBEsol-relaxed geometry (meta-GGA SCAN).

```
LiPb2Au
1.0
5.087 0.000 0.000
0.000 5.114 0.000
0.000 0.000 6.965
Li Pb Au
2 4 2
direct
0.000 0.000 0.000 Li
0.500 0.500 0.000 Li
0.000 0.500 0.260 Pb
0.000 0.500 0.740 Pb
0.500 0.000 0.260 Pb
0.500 0.000 0.740 Pb
0.000 0.000 0.500 Au
0.500 0.500 0.500 Au
```

Computed properties:
**ρ**: 11.33 g/cm3
**E above lowest polymorph**: 90 meV/atom
**DOS(E_F)**: 3.28 states/eV per cell
**Formation energy from the elements**: -0.15 eV/atom
**VASP energy**: -447.45 eV/cell


# 2
Entry from Alexandria: LiPb2Au2 at its PBEsol-relaxed geometry (meta-GGA SCAN).

```
LiPb2Au2
1.0
7.515 0.000 0.000
0.000 7.515 0.000
0.000 0.000 4.007
Li Pb Au
2 4 4
direct
0.000 0.000 0.000 Li
0.500 0.500 0.000 Li
0.170 0.330 0.500 Pb
0.330 0.830 0.500 Pb
0.670 0.170 0.500 Pb
0.830 0.670 0.500 Pb
0.135 0.635 0.000 Au
0.365 0.135 0.000 Au
0.635 0.865 0.000 Au
0.865 0.365 0.000 Au
```

Computed properties:
**ρ**: 11.97 g/cm3
**DOS(E_F)**: 3.50 states/eV per cell
**Formation energy from the elements**: -0.21 eV/atom
**VASP energy**: -586.65 eV/cell